--- i ---
This record from the Alexandria database describes CrCdOs after structural relaxation. The functional is PBE.

```
CrCdOs
1.0
7.4017 0.0077 -0.0051
6.6903 2.6236 0.0048
0.7113 -1.0164 2.4104
Cd Cr Os
1 1 1
direct
0.9960 0.9960 0.0040
0.3219 0.3219 0.6781
0.6821 0.6821 0.3179
```

## Properties
**Crystal system**: orthorhombic
**DOS(E_F)**: 2.856 states/eV per cell


--- ii ---
This record from the Alexandria database describes CrCdOs after structural relaxation. The functional is PBE.

```
CrCdOs
1.0
2.7728 0.0000 0.0000
-1.3864 2.4013 0.0000
0.0000 0.0000 6.9428
Cd Cr Os
1 1 1
direct
0.0000 0.0000 0.0065
0.6667 0.3333 0.3587
0.3333 0.6667 0.6348
```

## Properties
**Crystal system**: trigonal
**DOS(E_F)**: 2.543 states/eV per cell


Top of the stability list: ii, leading by 15.3 kJ/mol of atoms.